(1)
A geometry-optimized LiTcIrAu structure, computed with PBE-GGA.

Calculated values
The value obtained for the energy above the most stable polymorph in this dataset is 0.000 eV per atom.

Cell: 4.363 4.363 4.363 Å, 60.00 60.00 60.00°
Sites, in units of the cell vectors:
1 Au 0.000 0.000 0.000
2 Ir 0.250 0.250 0.250
3 Li 0.750 0.750 0.750
4 Tc 0.500 0.500 0.500

(2)
A geometry-optimized Li4Tl2IrAu structure, computed with PBE-GGA.

Calculated values
The value obtained for the energy is -26.3 eV per cell.

Cell: 4.577 4.577 6.494 Å, 90.00 90.00 90.00°
Sites, in units of the cell vectors:
1 Li 0.500 0.000 0.253
2 Tl 0.000 0.500 0.267
3 Tl 0.500 0.000 0.733
4 Li 0.000 0.000 0.500
5 Li 0.000 0.500 0.747
6 Li 0.500 0.500 0.000
7 Ir 0.500 0.500 0.500
8 Au 0.000 0.000 0.000

(3)
A geometry-optimized Li4Zn2IrAu structure, computed with PBE-GGA.

Calculated values
The value obtained for the energy is -25.1 eV per cell.

Cell: 4.300 4.300 6.105 Å, 90.00 90.00 90.00°
Sites, in units of the cell vectors:
1 Li 0.500 0.500 0.500
2 Li 0.000 0.000 0.000
3 Zn 0.500 0.000 0.226
4 Zn 0.000 0.500 0.774
5 Li 0.000 0.500 0.246
6 Ir 0.500 0.500 0.000
7 Li 0.500 0.000 0.754
8 Au 0.000 0.000 0.500